Density functional theory data (GGA-PBE) for an optimized crystal structure of SrLi2Os.

a b c (Å): 6.8672 6.8672 6.8672
angles (deg): 90.00 90.00 90.00
Last column: nearest neighbours and their distance in Å.
Space group F-43m (No. 216)
Inequivalent atoms, fractional coordinates:
Sr1 0.0000 0.0000 0.0000  4 Li 2.97, 4 Os 2.97
Li1 0.0000 0.0000 0.5000  4 Li 2.97, 4 Os 2.97
Li2 0.2500 0.2500 0.2500  4 Li 2.97, 4 Sr 2.97
Os1 0.2500 0.2500 0.7500  4 Li 2.97, 4 Sr 2.97

## Properties
formation enthalpy at 0 K	700	meV/atom
energy above the lowest structure with this stoichiometry	203	meV per atom